# NaInBi2, relaxed, DFT PBE-GGA
data_NaInBi2
_cell_length_a 5.0362
_cell_length_b 5.0362
_cell_length_c 18.0001
_cell_angle_alpha 90.00
_cell_angle_beta 90.00
_cell_angle_gamma 120.00
_symmetry_space_group_name_H-M 'R 3 m'
_symmetry_Int_Tables_number 160
_symmetry_space_group_name_Hall 'R 3 -2"'
loop_
_atom_site_label
_atom_site_fract_x
_atom_site_fract_y
_atom_site_fract_z
Na1 0.0000 0.0000 0.0000
In1 0.0000 0.0000 0.1810
Bi1 0.0000 0.0000 0.5902
Bi2 0.0000 0.0000 0.7656
# DFT formation energy: -0.0452 eV per atom
# raw total energy: -36.00 eV per cell
# M_tot: 0.0 μB/f.u.
# DOS at the Fermi energy: 0.47 states/eV/atom